No. 1
## CdCuS2Cl (PBE)

Data for crystalline CdCuS2Cl at its relaxed geometry.

Properties
- crystal system = tetragonal
- E_form (uncorrected) (eV/atom) = 0.6440
- VASP energy (eV per atom) = -2.379

POSCAR file:
```
CdCuS2Cl
1.0
4.9579 0.0000 0.0000
0.0000 4.9579 0.0000
0.0000 0.0000 5.2534
Cd Cu S Cl
1 1 2 1
Direct
0.0000 0.0000 0.0000
0.5000 0.5000 0.5000
0.0000 0.5000 0.0000
0.5000 0.0000 0.0000
0.0000 0.0000 0.5000
```



No. 2
## CeBiTe (PBE)

Data for crystalline CeBiTe at its relaxed geometry.

Properties
- crystal system = tetragonal
- E_form (uncorrected) (eV/atom) = -1.0258
- VASP energy (eV per atom) = -5.345

POSCAR file:
```
CeBiTe
1.0
4.4853 0.0000 0.0000
0.0000 4.4853 0.0000
0.0000 0.0000 18.7647
Ce Bi Te
4 4 4
Direct
0.0000 0.0000 0.1421
0.0000 0.0000 0.8579
0.5000 0.5000 0.3579
0.5000 0.5000 0.6421
0.0000 0.5000 0.0000
0.0000 0.5000 0.5000
0.5000 0.0000 0.0000
0.5000 0.0000 0.5000
0.0000 0.0000 0.3156
0.0000 0.0000 0.6844
0.5000 0.5000 0.1844
0.5000 0.5000 0.8156
```



No. 3
## Sm16Dy6Ho7 (PBE)

Data for crystalline Sm16Dy6Ho7 at its relaxed geometry.

Properties
- crystal system = cubic
- VASP energy (eV per atom) = -4.442

POSCAR file:
```
Sm16Dy6Ho7
1.0
0.0000 7.9290 7.9290
7.9290 0.0000 7.9290
7.9290 7.9290 0.0000
Sm Dy Ho
16 6 7
Direct
0.0496 0.6501 0.6501
0.1244 0.1244 0.1244
0.1244 0.1244 0.6267
0.1244 0.6267 0.1244
0.3499 0.3499 0.3499
0.3499 0.3499 0.9504
0.3499 0.9504 0.3499
0.3733 0.8756 0.8756
0.6267 0.1244 0.1244
0.6501 0.0496 0.6501
0.6501 0.6501 0.0496
0.6501 0.6501 0.6501
0.8756 0.3733 0.8756
0.8756 0.8756 0.3733
0.8756 0.8756 0.8756
0.9504 0.3499 0.3499
0.2696 0.2696 0.7304
0.2696 0.7304 0.2696
0.2696 0.7304 0.7304
0.7304 0.2696 0.2696
0.7304 0.2696 0.7304
0.7304 0.7304 0.2696
0.0000 0.0000 0.0000
0.0000 0.0000 0.5000
0.0000 0.5000 0.0000
0.0000 0.5000 0.5000
0.5000 0.0000 0.0000
0.5000 0.0000 0.5000
0.5000 0.5000 0.0000
```



No. 4
## Pu3IrRu (PBE)

Data for crystalline Pu3IrRu at its relaxed geometry.

Properties
- crystal system = monoclinic
- VASP energy (eV per atom) = -12.389

POSCAR file:
```
Pu3IrRu
1.0
5.8080 0.0000 0.0000
0.0000 4.1786 0.0000
-0.0224 0.0000 9.1286
Pu Ir Ru
6 2 2
Direct
0.2374 0.2500 0.2244
0.2515 0.7500 0.5512
0.2580 0.7500 0.9541
0.7420 0.2500 0.0459
0.7485 0.2500 0.4488
0.7626 0.7500 0.7756
0.4791 0.2500 0.7317
0.5209 0.7500 0.2683
0.0114 0.2500 0.7304
0.9886 0.7500 0.2696
```